Compound: LiIn2Tc
Source: the Open Quantum Materials Database
Functional: GGA-PBE
Structure: relaxed

Lattice parameters (Å, degrees): 6.5903 6.5903 6.5903 90.00 90.00 90.00
Space group F-43m (No. 216)
One atom of each set of equivalent atoms:
Li (0.0000, 0.0000, 0.0000) [4 per cell]
In (0.0000, 0.0000, 0.5000) [4 per cell]
In (0.2500, 0.2500, 0.2500) [4 per cell]
Tc (0.2500, 0.2500, 0.7500) [4 per cell]

Calculated values
- Total moment: 0.00 μB/f.u.
- V: 286.2 Å³ per cell
- Total energy: -4.082 eV/atom
- Calculated density: 7.764 g/cm3